Th2ScHgC | PBE-GGA | optimized geometry

abc: 4.6145 5.0880 5.0880
angles: 90.00 90.00 90.00
Element x y z (fractional)
C 0.0000 0.0000 0.0000
Sc 0.5000 0.0000 0.0000
Th 0.0000 0.0000 0.5000
Th 0.0000 0.5000 0.0000
Hg 0.5000 0.5000 0.5000

Summary:
As for the total magnetization: 0.000 Bohr magnetons per cell. For the calculated volume, the calculation gives 23.9 Å³/atom. As for the calculated density: 10.0 g cm⁻³. As for the electronic total energy: -32.32 eV/f.u. Its formation energy is -324 meV/atom.